1.
## Tl2WIO (PBE with a Hubbard U)

Data for a relaxed Tl2WIO crystal.

a = 6.565 Å, b = 6.565 Å, c = 5.706 Å
α = 90.00°, β = 90.00°, γ = 90.00°
Space group P4/mmm (No. 123)
Asymmetric unit:
1 Tl 0.000 0.500 0.000 [2 per cell]
2 W 0.000 0.000 0.500 [1 per cell]
3 I 0.000 0.000 0.000 [1 per cell]
4 O 0.500 0.500 0.500 [1 per cell]

Properties
VASP energy, eV/atom: -2.4124
Excess energy over the best structure of this formula in the dataset, kJ/mol of atoms: 147.93
Total moment, μB per atom: 1.0723

2.
## TlWIO2 (PBE with a Hubbard U)

Data for a relaxed TlWIO2 crystal.

a = 4.294 Å, b = 4.294 Å, c = 6.627 Å
α = 90.00°, β = 90.00°, γ = 90.00°
Space group P4/mmm (No. 123)
Asymmetric unit:
1 Tl 0.000 0.000 0.000 [1 per cell]
2 W 0.500 0.500 0.500 [1 per cell]
3 I 0.000 0.000 0.500 [1 per cell]
4 O 0.000 0.500 0.000 [2 per cell]

Properties
VASP energy, eV/atom: -3.6309
Excess energy over the best structure of this formula in the dataset, kJ/mol of atoms: 123.08
Total moment, μB per atom: 1.0073

3.
## Tl2WIO (PBE with a Hubbard U)

Data for a relaxed Tl2WIO crystal.

a = 6.210 Å, b = 6.210 Å, c = 3.934 Å
α = 90.00°, β = 90.00°, γ = 90.00°
Space group P4/mmm (No. 123)
Asymmetric unit:
1 Tl 0.000 0.500 0.000 [2 per cell]
2 W 0.000 0.000 0.500 [1 per cell]
3 I 0.500 0.500 0.500 [1 per cell]
4 O 0.000 0.000 0.000 [1 per cell]

Properties
VASP energy, eV/atom: -3.9456
Excess energy over the best structure of this formula in the dataset, kJ/mol of atoms: 0.00
Total moment, μB per atom: 0.6253